The following is a DFT calculation (PBE+U) of a relaxed structure of Nd2AlNiO6.

Unit cell a=5.397 b=5.423 c=9.438 alpha=90.00 beta=124.59 gamma=90.00
Space group P2_1/c (No. 14)
One atom of each set of equivalent atoms:
Nd 0.241 0.038 0.250
Al 0.500 0.000 0.000
Ni 0.000 0.000 0.500
O 0.180 0.212 0.960
O 0.244 0.720 0.958
O 0.335 0.015 0.760

Properties
DFT total energy: -7.17 eV per atom
Magnetic moment: 2.98 μB per formula unit